--- P ---
TlPtPb3 | Alexandria | PBE | relaxed; space group = P2_1/m (11); density of states at the Fermi level = 1.74 states/eV/f.u.; total moment = 0.00 μB per formula unit
1.0
-0.574 4.404 -0.647
-7.530 -0.319 4.509
6.731 1.537 4.494
Tl Pt Pb
2 2 6
direct
0.750 0.776 0.662
0.250 0.224 0.338
0.750 0.608 0.095
0.250 0.392 0.905
0.250 0.589 0.302
0.750 0.411 0.698
0.250 0.049 0.667
0.750 0.241 0.020
0.750 0.951 0.333
0.250 0.759 0.980

***

--- Q ---
TlPtPb3 | Alexandria | PBE | relaxed; space group = Pnma (62); density of states at the Fermi level = 2.05 states/eV/f.u.; total moment = 0.00 μB per formula unit
1.0
4.634 0.000 0.000
0.000 9.688 0.000
0.000 0.000 12.674
Tl Pt Pb
4 4 12
direct
0.750 0.860 0.006
0.250 0.640 0.506
0.750 0.360 0.494
0.250 0.140 0.994
0.250 0.054 0.654
0.250 0.554 0.846
0.750 0.446 0.154
0.750 0.946 0.346
0.250 0.594 0.071
0.750 0.406 0.929
0.250 0.094 0.429
0.750 0.906 0.571
0.250 0.347 0.684
0.750 0.153 0.184
0.250 0.847 0.816
0.750 0.615 0.713
0.250 0.385 0.287
0.750 0.115 0.787
0.750 0.653 0.316
0.250 0.885 0.213

***

Which of them is most stable? Easy: P.

***

--- P ---
Tm3PtPb2 | Alexandria | PBE | relaxed; space group = C2/c (15); density of states at the Fermi level = 2.82 states/eV/f.u.; total moment = 0.00 μB per formula unit
1.0
6.218 0.000 0.000
0.000 7.170 -0.105
-3.109 -1.899 7.177
Tm Pt Pb
6 2 4
direct
0.357 0.250 0.000
0.643 0.750 0.000
0.090 0.090 0.293
0.797 0.410 0.707
0.203 0.590 0.293
0.910 0.910 0.707
0.108 0.750 0.000
0.892 0.250 0.000
0.730 0.554 0.335
0.605 0.054 0.335
0.395 0.946 0.665
0.270 0.446 0.665

***

--- Q ---
Tm3PtPb2 | Alexandria | PBE | relaxed; space group = Pnma (62); density of states at the Fermi level = 3.53 states/eV/f.u.; total moment = 0.00 μB per formula unit
1.0
4.489 0.000 0.000
0.000 11.548 0.000
0.000 0.000 12.282
Tm Pt Pb
12 4 8
direct
0.250 0.370 0.058
0.750 0.630 0.942
0.750 0.870 0.442
0.250 0.130 0.558
0.250 0.707 0.249
0.750 0.293 0.751
0.750 0.207 0.251
0.250 0.793 0.749
0.250 0.453 0.381
0.750 0.547 0.619
0.750 0.953 0.119
0.250 0.047 0.881
0.250 0.129 0.119
0.750 0.871 0.881
0.750 0.629 0.381
0.250 0.371 0.619
0.250 0.701 0.515
0.750 0.299 0.485
0.750 0.201 0.985
0.250 0.799 0.015
0.250 0.999 0.318
0.750 0.001 0.682
0.750 0.499 0.182
0.250 0.501 0.818

***

Which of them is most stable? Easy: Q.

***

--- P ---
Tm4Pt2Pb | Alexandria | PBE | relaxed; space group = R-3m (166); density of states at the Fermi level = 4.46 states/eV/f.u.; total moment = 0.00 μB per formula unit
1.0
4.585 0.000 0.000
2.292 3.970 0.000
2.292 1.323 10.218
Tm Pt Pb
4 2 1
direct
0.388 0.388 0.836
0.200 0.200 0.399
0.800 0.800 0.601
0.612 0.612 0.164
0.103 0.103 0.691
0.897 0.897 0.309
0.000 0.000 0.000

***

--- Q ---
Tm4Pt2Pb | Alexandria | PBE | relaxed; space group = I4/mmm (139); density of states at the Fermi level = 4.17 states/eV/f.u.; total moment = 0.00 μB per formula unit
1.0
5.808 0.285 -1.874
-3.002 4.980 -1.874
-0.154 -0.289 6.101
Tm Pt Pb
4 2 1
direct
0.786 0.786 0.501
0.286 0.286 0.499
0.286 0.785 0.000
0.785 0.286 0.000
0.786 0.286 0.500
0.286 0.786 0.500
0.786 0.786 0.000

***

Which of them is most stable? Easy: P.

***

--- P ---
Tm4PtPb | Alexandria | PBE | relaxed; space group = P2_1/m (11); density of states at the Fermi level = 5.13 states/eV/f.u.; total moment = 0.00 μB per formula unit
1.0
5.172 0.000 -2.168
0.000 6.827 0.000
-0.311 0.000 9.200
Tm Pt Pb
8 2 2
direct
0.592 0.250 0.438
0.408 0.750 0.562
0.640 0.250 0.858
0.360 0.750 0.142
0.948 0.006 0.270
0.052 0.506 0.730
0.948 0.494 0.270
0.052 0.994 0.730
0.211 0.250 0.550
0.789 0.750 0.450
0.290 0.250 0.069
0.710 0.750 0.931

***

--- Q ---
Tm4PtPb | Alexandria | PBE | relaxed; space group = C2/c (15); density of states at the Fermi level = 6.44 states/eV/f.u.; total moment = 0.00 μB per formula unit
1.0
6.135 -0.305 0.000
-1.945 8.230 0.000
-2.095 -3.962 6.658
Tm Pt Pb
8 2 2
direct
0.042 0.210 0.855
0.790 0.716 0.657
0.314 0.645 0.855
0.367 0.941 0.657
0.633 0.059 0.343
0.686 0.355 0.145
0.210 0.284 0.343
0.958 0.790 0.145
0.251 0.001 0.002
0.749 0.999 0.998
0.379 0.629 0.258
0.621 0.371 0.742

***

Which of them is most stable? Easy: P.

***

--- P ---
VPtPb3 | Alexandria | PBE | relaxed; space group = Pm-3m (221); density of states at the Fermi level = 8.99 states/eV/f.u.; total moment = 3.84 μB per formula unit
1.0
-2.848 -1.302 -4.377
3.249 -4.202 -0.865
-3.209 -3.100 3.010
Pb Pt V
3 1 1
direct
0.000 0.500 0.000
0.000 0.000 0.500
0.500 0.000 0.000
0.000 0.000 0.000
0.500 0.500 0.500

***

--- Q ---
VPtPb3 | Alexandria | PBE | relaxed; space group = Pm-3m (221); density of states at the Fermi level = 6.03 states/eV/f.u.; total moment = 2.66 μB per formula unit
1.0
-4.925 0.850 1.506
1.482 -0.269 4.998
0.892 5.143 0.012
Pb Pt V
3 1 1
direct
0.000 0.500 0.000
0.000 0.000 0.500
0.500 0.000 0.000
0.500 0.500 0.500
0.000 0.000 0.000

***

Which of them is most stable? Easy: P.

***

--- P ---
PtPb2W | Alexandria | PBE | relaxed; space group = F-43m (216); density of states at the Fermi level = 4.38 states/eV/f.u.; total moment = 1.92 μB per formula unit
1.0
-4.602 -0.218 1.866
-0.697 -1.292 4.749
-1.506 3.395 3.304
Pb Pt W
2 1 1
direct
0.000 0.000 0.000
0.750 0.750 0.750
0.500 0.500 0.500
0.250 0.250 0.250

***

--- Q ---
PtPb2W | Alexandria | PBE | relaxed; space group = C2/m (12); density of states at the Fermi level = 2.59 states/eV/f.u.; total moment = 0.00 μB per formula unit
1.0
-5.781 0.496 -1.001
1.886 -3.469 4.060
-0.539 1.564 2.589
Pb Pt W
2 1 1
direct
0.000 0.000 0.000
0.500 0.000 0.500
0.000 0.500 0.500
0.500 0.500 0.000

***

Which of them is most stable? Easy: Q.

***

--- P ---
PtPb2W | Alexandria | PBE | relaxed; space group = I-42d (122); density of states at the Fermi level = 2.99 states/eV/f.u.; total moment = 2.22 μB per formula unit
1.0
-1.609 -6.633 -3.767
7.624 -1.275 -1.012
3.102 -5.464 0.229
Pb W Pt
4 2 2
direct
0.640 0.125 0.250
0.110 0.625 0.250
0.375 0.360 0.750
0.875 0.890 0.750
0.500 0.500 0.000
0.250 0.750 0.500
0.000 0.000 0.000
0.750 0.250 0.500

***

--- Q ---
PtPb2W | Alexandria | PBE | relaxed; space group = R-3m (166); density of states at the Fermi level = 2.90 states/eV/f.u.; total moment = 0.00 μB per formula unit
1.0
-8.686 3.080 -2.339
-9.062 -0.058 -2.877
-9.442 1.118 0.082
Pb Pt W
2 1 1
direct
0.999 0.999 0.999
0.501 0.501 0.501
0.250 0.250 0.250
0.750 0.750 0.750

***

Which of them is most stable? Easy: Q.

***

--- P ---
PtPb2W | Alexandria | PBE | relaxed; space group = P4/mmm (123); density of states at the Fermi level = 3.72 states/eV/f.u.; total moment = 0.86 μB per formula unit
1.0
-2.157 2.336 0.400
-2.356 -2.057 -0.698
-0.637 -1.932 7.842
Pb Pt W
2 1 1
direct
0.000 0.000 0.004
0.000 0.000 0.496
0.500 0.500 0.250
0.500 0.500 0.750

***

--- Q ---
PtPb2W | Alexandria | PBE | relaxed; space group = R3m (160); density of states at the Fermi level = 3.38 states/eV/f.u.; total moment = 0.00 μB per formula unit
1.0
-1.809 10.847 0.531
-3.040 10.325 -2.313
-4.795 9.907 0.260
Pb Pt W
2 1 1
direct
0.017 0.017 0.017
0.233 0.233 0.233
0.488 0.488 0.488
0.762 0.762 0.762

***

--- R ---
PtPb2W | Alexandria | PBE | relaxed; space group = Pmm2 (25); density of states at the Fermi level = 2.80 states/eV/f.u.; total moment = 0.00 μB per formula unit
1.0
3.110 0.000 0.000
0.000 3.121 0.008
0.000 3.091 9.524
Pb Pt W
2 1 1
direct
0.000 0.055 0.945
0.500 0.193 0.307
0.000 0.456 0.544
0.500 0.796 0.704

***

--- S ---
PtPb2W | Alexandria | PBE | relaxed; space group = I-4m2 (119); density of states at the Fermi level = 3.56 states/eV/f.u.; total moment = 0.97 μB per formula unit
1.0
5.729 0.037 0.000
2.770 5.015 0.000
-4.249 -2.526 2.895
Pb Pt W
2 1 1
direct
0.000 0.000 0.000
0.250 0.750 0.500
0.500 0.500 0.000
0.750 0.250 0.500

***

Which of them is most stable? Easy: R.

***

--- P ---
YPtPb2 | Alexandria | PBE | relaxed; space group = F-43m (216); density of states at the Fermi level = 3.94 states/eV/f.u.; total moment = 0.00 μB per formula unit
1.0
5.202 0.000 0.000
2.601 4.505 0.000
2.601 1.502 4.248
Pb Pt Y
2 1 1
direct
0.000 0.000 0.000
0.250 0.250 0.250
0.500 0.500 0.500
0.750 0.750 0.750

***

--- Q ---
YPtPb2 | Alexandria | PBE | relaxed; space group = Fm-3m (225); density of states at the Fermi level = 3.47 states/eV/f.u.; total moment = 0.00 μB per formula unit
1.0
0.000 3.644 3.644
3.644 0.000 3.644
3.644 3.644 0.000
Pb Y Pt
2 1 1
direct
0.250 0.250 0.250
0.750 0.750 0.750
0.000 0.000 0.000
0.500 0.500 0.500

***

Which of them is most stable? Easy: P.

***

--- P ---
YPtPb2 | Alexandria | PBE | relaxed; space group = R3m (160); density of states at the Fermi level = 2.55 states/eV/f.u.; total moment = 0.00 μB per formula unit
1.0
-8.455 1.953 -2.153
-8.588 1.780 1.732
-7.388 5.035 -0.031
Pb Pt Y
2 1 1
direct
0.000 0.000 0.000
0.236 0.236 0.236
0.497 0.497 0.497
0.767 0.767 0.767

***

--- Q ---
YPtPb2 | Alexandria | PBE | relaxed; space group = Pm (6); density of states at the Fermi level = 2.72 states/eV/f.u.; total moment = 0.00 μB per formula unit
1.0
3.933 0.000 0.000
0.000 3.934 0.008
0.000 1.957 6.999
Pb Pt Y
2 1 1
direct
0.000 0.067 0.991
0.500 0.437 0.254
0.000 0.280 0.562
0.500 0.716 0.693

***

Which of them is most stable? Easy: Q.

***

--- P ---
YPtPb2 | Alexandria | PBE | relaxed; space group = Cmmm (65); density of states at the Fermi level = 4.08 states/eV/f.u.; total moment = 0.00 μB per formula unit
1.0
3.793 0.009 0.000
-0.839 3.700 0.000
0.000 0.000 7.172
Pb Pt Y
2 1 1
direct
0.000 0.000 0.034
0.000 0.000 0.466
0.500 0.500 0.250
0.500 0.500 0.750

***

--- Q ---
YPtPb2 | Alexandria | PBE | relaxed; space group = R-3m (166); density of states at the Fermi level = 1.92 states/eV/f.u.; total moment = 0.00 μB per formula unit
1.0
5.907 -0.102 -0.066
4.137 4.218 -0.066
4.137 1.695 3.863
Pb Pt Y
2 1 1
direct
0.982 0.982 0.982
0.518 0.518 0.518
0.250 0.250 0.250
0.750 0.750 0.750

***

Which of them is most stable? Easy: Q.

***

--- P ---
YPtPb2 | Alexandria | PBE | relaxed; space group = C2/m (12); density of states at the Fermi level = 1.91 states/eV/f.u.; total moment = 0.00 μB per formula unit
1.0
-1.121 -5.909 -2.059
5.789 2.039 1.659
1.723 -2.781 2.744
Pb Pt Y
2 1 1
direct
0.000 0.000 0.000
0.500 0.500 0.000
0.500 0.000 0.500
0.000 0.500 0.500

***

--- Q ---
YPtPb2 | Alexandria | PBE | relaxed; space group = I-42d (122); density of states at the Fermi level = 1.70 states/eV/f.u.; total moment = 0.00 μB per formula unit
1.0
-3.669 -2.389 -0.487
2.286 -3.064 -2.190
1.420 -7.895 8.094
Pb Y Pt
4 2 2
direct
0.640 0.125 0.250
0.110 0.625 0.250
0.375 0.360 0.750
0.875 0.890 0.750
0.500 0.500 0.000
0.250 0.750 0.500
0.000 0.000 0.000
0.750 0.250 0.500

***

Which of them is most stable? Easy: P.